[1]
## CsVCuC2 (GGA-PBE)

Data for a geometry-optimized CsVCuC2 structure.

Geometry as CIF:
```
data_CsVCuC2
_cell_length_a 4.015
_cell_length_b 4.015
_cell_length_c 5.451
_cell_angle_alpha 90.00
_cell_angle_beta 90.00
_cell_angle_gamma 90.00
_space_group_name_H-M_alt 'P 4/m m m'
_space_group_IT_number 123
_space_group_name_Hall '-P 4 2'
loop_
_atom_site_label
_atom_site_type_symbol
_atom_site_fract_x
_atom_site_fract_y
_atom_site_fract_z
Cs1 Cs 0.000 0.000 0.000
V1 V 0.500 0.500 0.000
Cu1 Cu 0.000 0.000 0.500
C1 C 0.000 0.500 0.500
```

## Properties
magnetic moment: 3.00 μB/cell
V: 87.85 Å³/cell
uncorrected energy: -19.523 eV/cell

---

[2]
## CdGaBr2 (GGA-PBE)

Data for a geometry-optimized CdGaBr2 structure.

Geometry as CIF:
```
data_CdGaBr2
_cell_length_a 4.0411
_cell_length_b 4.0411
_cell_length_c 28.1521
_cell_angle_alpha 90.00
_cell_angle_beta 90.00
_cell_angle_gamma 120.00
_space_group_name_H-M_alt 'R -3 m'
_space_group_IT_number 166
_space_group_name_Hall '-R 3 2"'
loop_
_atom_site_label
_atom_site_type_symbol
_atom_site_fract_x
_atom_site_fract_y
_atom_site_fract_z
Cd1 Cd 0.0000 0.0000 0.0000
Ga1 Ga 0.0000 0.0000 0.5000
Br1 Br 0.0000 0.0000 0.0979
```

## Properties
magnetic moment: 0.00 μB/cell
V: 398.15 Å³/cell
E_form (uncorrected): -0.29 eV/atom
uncorrected energy: -25.305 eV/cell
E above lowest polymorph: 0.056 eV/atom

---

Question: Which formula does entry 2 have?
Answer: CdGaBr2

---

Question: Which of these has the lowest V?
Answer: CsVCuC2

---

Question: uncorrected energy of number 1 (CsVCuC2)?
Answer: -19.523 eV/cell